[1]
K2MgIO6 after structural relaxation, computed with PBE.

E_form (uncorrected) ... -1.2189 eV per atom
Symmetry ... Fm-3m
Crystal system ... cubic
E ... -0.174 Ha/atom

Lattice parameters (Å, degrees): 5.7159 5.7159 5.7159 60.00 60.00 60.00
With the nearest neighbours (Å) after each atom.
Element x y z (fractional)
K: 0.2500 0.2500 0.2500  12 O 2.86
K: 0.7500 0.7500 0.7500  12 O 2.86
Mg: 0.0000 0.0000 0.0000  6 O 2.15
I: 0.5000 0.5000 0.5000  6 O 1.90
O: 0.2654 0.2654 0.7346  1 I 1.90
O: 0.2654 0.7346 0.2654  1 I 1.90
O: 0.2654 0.7346 0.7346  1 I 1.90
O: 0.7346 0.2654 0.2654  1 I 1.90
O: 0.7346 0.2654 0.7346  1 I 1.90
O: 0.7346 0.7346 0.2654  1 I 1.90

[2]
Fe2CuRu after structural relaxation, computed with PBE.

Symmetry ... Fm-3m
Crystal system ... cubic
E ... -0.261 Ha/atom
Formation enthalpy at 0 K ... 45.9 kJ/mol of atoms

Lattice parameters (Å, degrees): 5.7471 5.7471 5.7471 90.00 90.00 90.00
With the nearest neighbours (Å) after each atom.
Element x y z (fractional)
Fe: 0.2500 0.2500 0.2500  4 Ru 2.49, 4 Cu 2.49
Fe: 0.2500 0.2500 0.7500  4 Ru 2.49, 4 Cu 2.49
Fe: 0.2500 0.7500 0.2500  4 Ru 2.49, 4 Cu 2.49
Fe: 0.2500 0.7500 0.7500  4 Ru 2.49, 4 Cu 2.49
Fe: 0.7500 0.2500 0.2500  4 Ru 2.49, 4 Cu 2.49
Fe: 0.7500 0.2500 0.7500  4 Ru 2.49, 4 Cu 2.49
Fe: 0.7500 0.7500 0.2500  4 Ru 2.49, 4 Cu 2.49
Fe: 0.7500 0.7500 0.7500  4 Ru 2.49, 4 Cu 2.49
Cu: 0.0000 0.0000 0.0000  8 Fe 2.49
Cu: 0.0000 0.5000 0.5000  8 Fe 2.49
Cu: 0.5000 0.0000 0.5000  8 Fe 2.49
Cu: 0.5000 0.5000 0.0000  8 Fe 2.49
Ru: 0.0000 0.0000 0.5000  8 Fe 2.49
Ru: 0.0000 0.5000 0.0000  8 Fe 2.49
Ru: 0.5000 0.0000 0.0000  8 Fe 2.49
Ru: 0.5000 0.5000 0.5000  8 Fe 2.49

[3]
CaPt3Br after structural relaxation, computed with PBE.

E_form (uncorrected) ... 1.3048 eV per atom
Symmetry ... Pm-3m
Crystal system ... cubic
E ... -0.112 Ha/atom

Lattice parameters (Å, degrees): 5.0704 5.0704 5.0704 90.00 90.00 90.00
With the nearest neighbours (Å) after each atom.
Element x y z (fractional)
Ca: 0.0000 0.0000 0.0000  6 Pt 2.54
Pt: 0.0000 0.0000 0.5000  2 Ca 2.54
Pt: 0.0000 0.5000 0.0000  2 Ca 2.54
Pt: 0.5000 0.0000 0.0000  2 Ca 2.54
Br: 0.5000 0.5000 0.5000  12 Pt 3.59

[4]
PRhBr2 after structural relaxation, computed with PBE.

E_form (uncorrected) ... 0.1522 eV per atom
Symmetry ... Cmm2
Crystal system ... orthorhombic
E ... -0.142 Ha/atom

Lattice parameters (Å, degrees): 3.6028 7.0384 8.6466 90.00 90.00 90.00
With the nearest neighbours (Å) after each atom.
Element x y z (fractional)
P: 0.0000 0.0000 0.0000  2 Rh 2.19
P: 0.5000 0.5000 0.0000  2 Rh 2.19
Rh: 0.0000 0.5000 0.8566  2 P 2.19
Rh: 0.5000 0.0000 0.8566  2 P 2.19
Br: 0.0000 0.0000 0.6432  2 Rh 2.58
Br: 0.0000 0.5000 0.2474  2 P 2.80
Br: 0.5000 0.0000 0.2474  2 P 2.80
Br: 0.5000 0.5000 0.6432  2 Rh 2.58

[5]
NaLiHg2Au after structural relaxation, computed with PBE.

Symmetry ... P4/mmm
Crystal system ... tetragonal
E ... -0.056 Ha/atom
Formation enthalpy at 0 K ... -11.0 kJ/mol of atoms

Lattice parameters (Å, degrees): 5.0639 5.0639 4.8525 90.00 90.00 90.00
With the nearest neighbours (Å) after each atom.
Element x y z (fractional)
Na: 0.0000 0.0000 0.0000  8 Hg 3.51, 4 Au 3.58
Li: 0.5000 0.5000 0.5000  2 Au 2.43, 4 Hg 2.53
Hg: 0.0000 0.5000 0.5000  2 Li 2.53
Hg: 0.5000 0.0000 0.5000  2 Li 2.53
Au: 0.5000 0.5000 0.0000  2 Li 2.43

[6]
Li3Sb2P3O12 after structural relaxation, computed with PBE.

E_form (uncorrected) ... -2.0437 eV per atom
Symmetry ... R-3
Crystal system ... trigonal
E ... -0.240 Ha/atom

Lattice parameters (Å, degrees): 9.6952 9.6952 9.6952 54.12 54.12 54.12
With the nearest neighbours (Å) after each atom.
Element x y z (fractional)
Li: 0.0621 0.7454 0.3295  4 O 1.93-2.09
Li: 0.2546 0.6705 0.9379  4 O 1.93-2.09
Li: 0.3295 0.0621 0.7454  4 O 1.93-2.09
Li: 0.6705 0.9379 0.2546  4 O 1.93-2.09
Li: 0.7454 0.3295 0.0621  4 O 1.93-2.09
Li: 0.9379 0.2546 0.6705  4 O 1.93-2.09
Sb: 0.1621 0.1621 0.1621  3 O 2.10
Sb: 0.3448 0.3448 0.3448  3 O 2.15
Sb: 0.6552 0.6552 0.6552  3 O 2.15
Sb: 0.8379 0.8379 0.8379  3 O 2.10
P: 0.0596 0.4312 0.7410  4 O 1.53-1.59
P: 0.2590 0.9404 0.5688  4 O 1.53-1.59
P: 0.4312 0.7410 0.0596  4 O 1.53-1.59
P: 0.5688 0.2590 0.9404  4 O 1.53-1.59
P: 0.7410 0.0596 0.4312  4 O 1.53-1.59
P: 0.9404 0.5688 0.2590  4 O 1.53-1.59
O: 0.0143 0.4079 0.2070  1 P 1.55
O: 0.1072 0.6057 0.2033  1 P 1.57
O: 0.1590 0.4950 0.5245  1 P 1.59
O: 0.1651 0.8095 0.7424  1 P 1.53
O: 0.1905 0.2576 0.8349  1 P 1.53
O: 0.2033 0.1072 0.6057  1 P 1.57
O: 0.2070 0.0143 0.4079  1 P 1.55
O: 0.2576 0.8349 0.1905  1 P 1.53
O: 0.3943 0.7967 0.8928  1 P 1.57
O: 0.4079 0.2070 0.0143  1 P 1.55
O: 0.4755 0.8410 0.5050  1 P 1.59
O: 0.4950 0.5245 0.1590  1 P 1.59
O: 0.5050 0.4755 0.8410  1 P 1.59
O: 0.5245 0.1590 0.4950  1 P 1.59
O: 0.5921 0.7930 0.9857  1 P 1.55
O: 0.6057 0.2033 0.1072  1 P 1.57
O: 0.7424 0.1651 0.8095  1 P 1.53
O: 0.7930 0.9857 0.5921  1 P 1.55
O: 0.7967 0.8928 0.3943  1 P 1.57
O: 0.8095 0.7424 0.1651  1 P 1.53
O: 0.8349 0.1905 0.2576  1 P 1.53
O: 0.8410 0.5050 0.4755  1 P 1.59
O: 0.8928 0.3943 0.7967  1 P 1.57
O: 0.9857 0.5921 0.7930  1 P 1.55

[7]
LaTbIrO6 after structural relaxation, computed with PBE.

E_form (uncorrected) ... -2.2099 eV per atom
Symmetry ... P-31c
Crystal system ... trigonal
E ... -0.278 Ha/atom

Lattice parameters (Å, degrees): 5.5698 5.5698 10.1276 90.00 90.00 120.00
With the nearest neighbours (Å) after each atom.
Element x y z (fractional)
La: 0.0000 0.0000 0.0000  6 O 2.45
La: 0.0000 0.0000 0.5000  6 O 2.45
Tb: 0.3333 0.6667 0.2500  6 O 2.27
Tb: 0.6667 0.3333 0.7500  6 O 2.27
Ir: 0.3333 0.6667 0.7500  6 O 1.96
Ir: 0.6667 0.3333 0.2500  6 O 1.96
O: 0.0426 0.3778 0.6399  1 Ir 1.96
O: 0.0426 0.6647 0.8601  1 Ir 1.96
O: 0.3353 0.3778 0.8601  1 Ir 1.96
O: 0.3353 0.9574 0.6399  1 Ir 1.96
O: 0.3778 0.0426 0.1399  1 Ir 1.96
O: 0.3778 0.3353 0.3601  1 Ir 1.96
O: 0.6222 0.6647 0.6399  1 Ir 1.96
O: 0.6222 0.9574 0.8601  1 Ir 1.96
O: 0.6647 0.0426 0.3601  1 Ir 1.96
O: 0.6647 0.6222 0.1399  1 Ir 1.96
O: 0.9574 0.3353 0.1399  1 Ir 1.96
O: 0.9574 0.6222 0.3601  1 Ir 1.96

[8]
YSc4Tl2 after structural relaxation, computed with PBE.

Symmetry ... Fmmm
Crystal system ... orthorhombic
E ... -0.187 Ha/atom
Formation enthalpy at 0 K ... 12.7 kJ/mol of atoms

Lattice parameters (Å, degrees): 7.5792 6.5212 5.8866 75.11 56.25 48.64
With the nearest neighbours (Å) after each atom.
Element x y z (fractional)
Y: 0.0000 0.0000 0.0000  4 Sc 2.94
Sc: 0.0000 0.0000 0.5000  4 Sc 2.86-3.14, 2 Y 2.94
Sc: 0.2500 0.2500 0.2500  4 Sc 2.86-3.14, 4 Tl 3.19
Sc: 0.5000 0.5000 0.0000  4 Sc 2.86-3.14, 2 Y 2.94
Sc: 0.7500 0.7500 0.7500  4 Sc 2.86-3.14, 4 Tl 3.19
Tl: 0.3587 0.3587 0.6413  8 Sc 3.19-3.36, 1 Tl 3.23, 2 Y 3.53
Tl: 0.6413 0.6413 0.3587  8 Sc 3.19-3.36, 1 Tl 3.23, 2 Y 3.53

[9]
SrBe4Ag after structural relaxation, computed with PBE.

Symmetry ... F-43m
Crystal system ... cubic
E ... -0.105 Ha/atom
Formation enthalpy at 0 K ... 38.0 kJ/mol of atoms

Lattice parameters (Å, degrees): 4.9755 4.9755 4.9755 60.00 60.00 60.00
With the nearest neighbours (Å) after each atom.
Element x y z (fractional)
Sr: 0.0000 0.0000 0.0000  12 Be 2.94, 4 Ag 3.05
Be: 0.3834 0.3834 0.3834  3 Be 2.32
Be: 0.3834 0.3834 0.8498  3 Be 2.32
Be: 0.3834 0.8498 0.3834  3 Be 2.32
Be: 0.8498 0.3834 0.3834  3 Be 2.32
Ag: 0.7500 0.7500 0.7500  12 Be 2.90, 4 Sr 3.05

[10]
PmGa4Tc after structural relaxation, computed with PBE.

Symmetry ... F-43m
Crystal system ... cubic
E ... -0.169 Ha/atom
Formation enthalpy at 0 K ... -6.5 kJ/mol of atoms

Lattice parameters (Å, degrees): 5.3359 5.3359 5.3359 60.00 60.00 60.00
With the nearest neighbours (Å) after each atom.
Element x y z (fractional)
Pm: 0.0000 0.0000 0.0000  12 Ga 3.13, 4 Tc 3.27
Ga: 0.1257 0.6248 0.6248  6 Ga 2.66-2.67
Ga: 0.6248 0.1257 0.6248  6 Ga 2.66-2.67
Ga: 0.6248 0.6248 0.1257  6 Ga 2.66-2.67
Ga: 0.6248 0.6248 0.6248  6 Ga 2.66-2.67
Tc: 0.2500 0.2500 0.2500  12 Ga 3.13, 4 Pm 3.27

[11]
YAlRe after structural relaxation, computed with PBE.

Symmetry ... P-6m2
Crystal system ... hexagonal
E ... -0.276 Ha/atom
Formation enthalpy at 0 K ... 3.3 kJ/mol of atoms

Lattice parameters (Å, degrees): 4.3825 4.3825 3.6737 90.00 90.00 120.00
With the nearest neighbours (Å) after each atom.
Element x y z (fractional)
Y: 0.0000 0.0000 0.0000  6 Al 3.13, 6 Re 3.13
Al: 0.6667 0.3333 0.5000  3 Re 2.53
Re: 0.3333 0.6667 0.5000  3 Al 2.53

[12]
Rb2PmThS4 after structural relaxation, computed with PBE.

E_form (uncorrected) ... -1.7431 eV per atom
Symmetry ... P2/m
Crystal system ... monoclinic
E ... -0.205 Ha/atom

Lattice parameters (Å, degrees): 7.2024 4.1715 8.1134 90.00 107.19 90.00
With the nearest neighbours (Å) after each atom.
Element x y z (fractional)
Rb: 0.0000 0.0000 0.0000  6 S 3.36-3.37
Rb: 0.5000 0.5000 0.0000  6 S 3.33-3.34
Pm: 0.0000 0.5000 0.5000  6 S 2.87-2.88
Th: 0.5000 0.0000 0.5000  6 S 2.83-2.85
S: 0.2379 0.0000 0.6994  1 Th 2.83, 2 Pm 2.87
S: 0.2703 0.5000 0.3003  2 Th 2.85, 1 Pm 2.88
S: 0.7297 0.5000 0.6997  2 Th 2.85, 1 Pm 2.88
S: 0.7621 0.0000 0.3006  1 Th 2.83, 2 Pm 2.87